First-principles (PBE) data for a relaxed structure of NaSb2TeBr, as listed in Alexandria.

Cell: 5.569 5.569 5.345 Å, 90.00 90.00 90.00°
Space group P4/mmm (No. 123)
Inequivalent atoms, fractional coordinates:
Na: 0.000 0.000 0.000 [1 per cell]
Sb: 0.000 0.500 0.000 [2 per cell]
Te: 0.000 0.000 0.500 [1 per cell]
Br: 0.500 0.500 0.500 [1 per cell]

**Magnetic moment**: 0.000 μB per formula unit
**ΔE_f (raw)**: 0.650 eV per atom
**ΔE to the lowest computed polymorph**: 0.1407 eV/atom

First-principles (PBE) data for a relaxed structure of NaTiSb2Br, as listed in Alexandria.

Cell: 5.253 5.253 5.499 Å, 90.00 90.00 90.00°
Space group P4/mmm (No. 123)
Inequivalent atoms, fractional coordinates:
Na: 0.000 0.000 0.000 [1 per cell]
Ti: 0.000 0.000 0.500 [1 per cell]
Sb: 0.000 0.500 0.000 [2 per cell]
Br: 0.500 0.500 0.500 [1 per cell]

**Magnetic moment**: 0.167 μB per formula unit
**ΔE_f (raw)**: 0.997 eV per atom

First-principles (PBE) data for a relaxed structure of NaTl2SbBr6, as listed in Alexandria.

Cell: 7.639 8.197 13.427 Å, 90.00 124.19 90.00°
Space group P2_1/c (No. 14)
Inequivalent atoms, fractional coordinates:
Na: 0.000 0.000 0.000 [2 per cell]
Tl: 0.220 0.084 0.751 [4 per cell]
Sb: 0.500 0.000 0.500 [2 per cell]
Br: 0.145 0.185 0.449 [4 per cell]
Br: 0.268 0.705 0.447 [4 per cell]
Br: 0.365 0.026 0.256 [4 per cell]

**Magnetic moment**: 0.000 μB per formula unit
**ΔE_f (raw)**: -0.905 eV per atom

First-principles (PBE) data for a relaxed structure of NaTlSbBr6, as listed in Alexandria.

Cell: 7.4322 7.4322 7.0040 Å, 90.00 90.00 120.00°
Space group P312 (No. 149)
Inequivalent atoms, fractional coordinates:
Na: 0.0000 0.0000 0.0000 [1 per cell]
Tl: 0.6667 0.3333 0.5000 [1 per cell]
Sb: 0.3333 0.6667 0.0000 [1 per cell]
Br: 0.0399 0.3618 0.2263 [6 per cell]

**Magnetic moment**: 0.000 μB per formula unit
**ΔE_f (raw)**: -0.791 eV per atom

First-principles (PBE) data for a relaxed structure of NaSb2WBr, as listed in Alexandria.

Cell: 5.212 5.212 5.792 Å, 90.00 90.00 90.00°
Space group P4/mmm (No. 123)
Inequivalent atoms, fractional coordinates:
Na: 0.000 0.000 0.000 [1 per cell]
Sb: 0.000 0.500 0.500 [2 per cell]
W: 0.500 0.500 0.500 [1 per cell]
Br: 0.500 0.500 0.000 [1 per cell]

**Magnetic moment**: 0.561 μB per formula unit
**ΔE_f (raw)**: 0.249 eV per atom

First-principles (PBE) data for a relaxed structure of Na2ZnSbBr, as listed in Alexandria.

Cell: 6.014 6.014 4.814 Å, 90.00 90.00 90.00°
Space group P4/mmm (No. 123)
Inequivalent atoms, fractional coordinates:
Na: 0.000 0.500 0.000 [2 per cell]
Zn: 0.000 0.000 0.000 [1 per cell]
Sb: 0.000 0.000 0.500 [1 per cell]
Br: 0.500 0.500 0.500 [1 per cell]

**Magnetic moment**: 0.000 μB per formula unit
**ΔE_f (raw)**: -0.246 eV per atom

First-principles (PBE) data for a relaxed structure of NaZrSb2Br, as listed in Alexandria.

Cell: 5.410 5.410 4.936 Å, 90.00 90.00 90.00°
Space group P4/mmm (No. 123)
Inequivalent atoms, fractional coordinates:
Na: 0.000 0.000 0.000 [1 per cell]
Zr: 0.500 0.500 0.500 [1 per cell]
Sb: 0.000 0.500 0.000 [2 per cell]
Br: 0.000 0.000 0.500 [1 per cell]

**Magnetic moment**: 0.000 μB per formula unit
**ΔE_f (raw)**: 0.586 eV per atom

First-principles (PBE) data for a relaxed structure of Na3ScBr, as listed in Alexandria.

Cell: 6.428 6.428 6.428 Å, 90.00 90.00 90.00°
Space group Pm-3m (No. 221)
Inequivalent atoms, fractional coordinates:
Na: 0.000 0.000 0.500 [3 per cell]
Sc: 0.000 0.000 0.000 [1 per cell]
Br: 0.500 0.500 0.500 [1 per cell]

**Magnetic moment**: 2.758 μB per formula unit
**ΔE_f (raw)**: 0.504 eV per atom
**ΔE to the lowest computed polymorph**: 0.5041 eV/atom

First-principles (PBE) data for a relaxed structure of NaSc3Br8, as listed in Alexandria.

Cell: 7.7680 7.7680 14.0593 Å, 90.00 90.00 120.00°
Space group P6_3mc (No. 186)
Inequivalent atoms, fractional coordinates:
Na: 0.3333 0.6667 0.0000 [2 per cell]
Sc: 0.1687 0.3375 0.7446 [6 per cell]
Br: 0.0000 0.0000 0.3580 [2 per cell]
Br: 0.0050 0.5025 0.8568 [6 per cell]
Br: 0.1617 0.3234 0.1337 [6 per cell]
Br: 0.3333 0.6667 0.6272 [2 per cell]

**Magnetic moment**: 2.047 μB per formula unit
**ΔE_f (raw)**: -1.599 eV per atom

First-principles (PBE) data for a relaxed structure of NaSc2Br, as listed in Alexandria.

Cell: 7.290 7.290 7.290 Å, 90.00 90.00 90.00°
Space group Fm-3m (No. 225)
Inequivalent atoms, fractional coordinates:
Na: 0.000 0.000 0.000 [4 per cell]
Sc: 0.250 0.250 0.250 [8 per cell]
Br: 0.000 0.000 0.500 [4 per cell]

**Magnetic moment**: 1.133 μB per formula unit
**ΔE_f (raw)**: 0.215 eV per atom
**ΔE to the lowest computed polymorph**: 0.3325 eV/atom

First-principles (PBE) data for a relaxed structure of NaScBr4, as listed in Alexandria.

Cell: 6.886 3.986 7.378 Å, 90.00 90.91 90.00°
Space group P2/m (No. 10)
Inequivalent atoms, fractional coordinates:
Na: 0.000 0.000 0.000 [1 per cell]
Sc: 0.000 0.500 0.500 [1 per cell]
Br: 0.218 0.500 0.794 [2 per cell]
Br: 0.224 0.000 0.362 [2 per cell]

**Magnetic moment**: 0.000 μB per formula unit
**ΔE_f (raw)**: -1.644 eV per atom
**ΔE to the lowest computed polymorph**: 0.0000 eV/atom

First-principles (PBE) data for a relaxed structure of NaScBr4, as listed in Alexandria.

Cell: 8.422 17.259 6.867 Å, 90.00 124.16 90.00°
Space group C2/c (No. 15)
Inequivalent atoms, fractional coordinates:
Na: 0.000 0.082 0.250 [4 per cell]
Sc: 0.000 0.426 0.750 [4 per cell]
Br: 0.220 0.454 0.222 [8 per cell]
Br: 0.223 0.326 0.759 [8 per cell]

**Magnetic moment**: 0.000 μB per formula unit
**ΔE_f (raw)**: -1.624 eV per atom
**ΔE to the lowest computed polymorph**: 0.0207 eV/atom

> What is the formula in the eleventh record?

NaScBr4